The following is a DFT calculation (GGA-PBEsol) of a relaxed LiZnGeS2 crystal.

The space group is P4/mmm (No. 123) and the conventional cell measures 4.845, 4.845 and 4.559 Å, with angles of 90.00, 90.00 and 90.00 degrees. The asymmetric unit holds Li at (0.000, 0.000, 0.000), Zn at (0.500, 0.500, 0.500), Ge at (0.500, 0.500, 0.000) and S at (0.000, 0.500, 0.500).

As for the energy: -3.274 eV/atom.